The following is a PBE+U calculation of crystalline Mn3V2Cr3O16 at its relaxed geometry, from Alexandria.

Lattice parameters (Å, degrees): 5.8742 5.8788 8.8626 89.18 89.84 60.42
Fractional coordinates of all 24 atoms:
1 Mn 0.0000 0.0000 0.0000
2 Mn 0.1711 0.1796 0.5045
3 Mn 0.6626 0.1788 0.5037
4 V 0.1657 0.6854 0.2930
5 V 0.5015 0.0069 0.7921
6 Cr 0.0114 0.5042 0.0140
7 Cr 0.4912 0.5131 0.9986
8 Cr 0.6620 0.6887 0.5036
9 O 0.0049 0.0026 0.3881
10 O 0.0084 0.5247 0.3884
11 O 0.1486 0.6815 0.8918
12 O 0.1866 0.1660 0.8895
13 O 0.2990 0.8253 0.1284
14 O 0.3007 0.3950 0.1359
15 O 0.3487 0.8797 0.6325
16 O 0.3553 0.3034 0.6280
17 O 0.4809 0.5244 0.3853
18 O 0.4914 0.0286 0.3931
19 O 0.6578 0.1682 0.8864
20 O 0.6603 0.6956 0.8849
21 O 0.7823 0.8806 0.6317
22 O 0.8362 0.3394 0.6028
23 O 0.8400 0.3373 0.0951
24 O 0.8773 0.8225 0.1321

Calculated values
The raw total energy is -7.369 eV per atom.